Record 1
{"formula": "PrZrTl", "functional": "PBE", "state": "optimized geometry", "lattice": [[3.211, -3.752, -1.537], [4.486, 1.206, -2.275], [4.460, -0.773, 2.503]], "species": ["Tl", "Zr", "Pr"], "fractional_positions": [[0.250, 0.250, 0.250], [0.750, 0.750, 0.750], [0.000, 0.000, 0.000]], "dft_energy_ev_per_cell": -13.36, "e_above_lowest_polymorph_ev_per_atom": 0.500}

=====

Record 2
{"formula": "HoErAl4Ni2", "functional": "PBE", "state": "optimized geometry", "lattice": [[-6.727, -0.757, 1.134], [1.066, -3.762, 3.810], [0.912, -0.036, 5.383]], "species": ["Al", "Al", "Ho", "Er", "Al", "Al", "Ni", "Ni"], "fractional_positions": [[0.695, 0.157, 0.157], [0.305, 0.157, 0.157], [0.000, 0.561, 0.561], [0.500, 0.439, 0.439], [0.805, 0.843, 0.843], [0.195, 0.843, 0.843], [0.000, 0.284, 0.284], [0.500, 0.716, 0.716]], "dft_energy_ev_per_cell": -40.45}

=====

Record 3
{"formula": "CsLi4Hf2", "functional": "PBE", "state": "optimized geometry", "lattice": [[4.870, -4.159, 0.000], [4.870, 4.159, 0.000], [-0.067, 0.000, 4.773]], "species": ["Li", "Cs", "Li", "Li", "Hf", "Hf", "Li"], "fractional_positions": [[0.127, 0.499, 0.738], [0.000, 0.000, 0.000], [0.873, 0.501, 0.262], [0.501, 0.873, 0.262], [0.430, 0.430, 0.247], [0.570, 0.570, 0.753], [0.499, 0.127, 0.738]], "dft_energy_ev_per_cell": -23.92}

=====

Record 4
{"formula": "ScBeGaPd", "functional": "PBE", "state": "optimized geometry", "lattice": [[0.000, 3.088, 3.088], [3.088, 0.000, 3.088], [3.088, 3.088, 0.000]], "species": ["Sc", "Be", "Ga", "Pd"], "fractional_positions": [[0.000, 0.000, 0.000], [0.750, 0.750, 0.750], [0.250, 0.250, 0.250], [0.500, 0.500, 0.500]], "dft_energy_ev_per_cell": -20.25, "e_above_lowest_polymorph_ev_per_atom": 0.000}

=====

Record 5
{"formula": "SiTcNO", "functional": "PBE", "state": "optimized geometry", "lattice": [[3.682, 0.000, 0.000], [0.000, 3.682, 0.000], [0.000, 0.000, 6.118]], "species": ["Si", "O", "Si", "Tc", "N", "N", "O", "Tc"], "fractional_positions": [[0.000, 0.500, 0.857], [0.500, 0.500, 0.000], [0.500, 0.000, 0.143], [0.000, 0.000, 0.500], [0.000, 0.500, 0.347], [0.500, 0.000, 0.653], [0.000, 0.000, 0.000], [0.500, 0.500, 0.500]], "dft_energy_ev_per_cell": -59.60, "e_above_lowest_polymorph_ev_per_atom": 0.726}

=====

Record 6
{"formula": "TbCl2", "functional": "PBE", "state": "optimized geometry", "lattice": [[0.000, 4.159, 4.159], [4.159, 0.000, 4.159], [4.159, 4.159, 0.000]], "species": ["Cl", "Cl", "Cl", "Cl", "Tb", "Tb"], "fractional_positions": [[0.625, 0.625, 0.625], [0.625, 0.125, 0.625], [0.625, 0.625, 0.125], [0.125, 0.625, 0.625], [0.000, 0.000, 0.000], [0.250, 0.250, 0.250]], "dft_energy_ev_per_cell": -19.07}